(1)
PBE Ta2InOs, relaxed; DFT formation energy = -61 meV/atom; space-group type = P4/mmm (123); size of the total moment = 0.00 μB per cell
1.0
2.987 0.000 0.000
0.000 2.987 0.000
0.000 0.000 8.127
Ta In Os
2 1 1
Direct
0.000 0.000 0.215 Ta
0.000 0.000 0.785 Ta
0.500 0.500 0.500 In
0.500 0.500 0.000 Os

(2)
PBE TaInOs2, relaxed; DFT formation energy = 528 meV/atom; space-group type = F-43m (216); size of the total moment = 0.00 μB per cell
1.0
0.000 3.219 3.219
3.219 0.000 3.219
3.219 3.219 0.000
Ta In Os
1 1 2
Direct
0.000 0.000 0.000 Ta
0.750 0.750 0.750 In
0.250 0.250 0.250 Os
0.500 0.500 0.500 Os

(3)
PBE TaInTcOs2, relaxed; DFT formation energy = 2177 meV/atom; space-group type = P4/mmm (123); size of the total moment = 3.21 μB per cell
1.0
4.740 0.000 0.000
0.000 4.740 0.000
0.000 0.000 5.147
Ta In Tc Os
1 1 1 2
Direct
0.000 0.000 0.000 Ta
0.000 0.000 0.500 In
0.500 0.500 0.500 Tc
0.000 0.500 0.000 Os
0.500 0.000 0.000 Os

Which value of size of the total moment does entry 2 give?
0.00 μB per cell

Which of these has the highest size of the total moment?
TaInTcOs2